The following is a DFT calculation (SCAN) of a crystal of Sr2Ti2O5 relaxed with PBEsol.

Cell and atoms, written as CIF:
```
data_Sr2Ti2O5
_symmetry_space_group_name_H-M 'P 1'
_symmetry_Int_Tables_number 1
_symmetry_space_group_name_Hall 'P 1'
_cell_length_a 5.542
_cell_length_b 5.550
_cell_length_c 8.703
_cell_angle_alpha 108.59
_cell_angle_beta 108.57
_cell_angle_gamma 90.00
loop_
_atom_site_label
_atom_site_type_symbol
_atom_site_fract_x
_atom_site_fract_y
_atom_site_fract_z
Ti1 Ti 0.740 0.735 0.500
O1 O 0.119 0.091 0.257
Ti2 Ti 0.240 0.265 0.500
Sr1 Sr 0.372 0.882 0.764
O2 O 0.491 0.500 0.500
Ti3 Ti 0.990 0.000 0.000
Sr2 Sr 0.609 0.118 0.236
O3 O 0.991 0.500 0.500
O4 O 0.362 0.334 0.743
O5 O 0.732 0.742 0.984
Ti4 Ti 0.490 0.500 0.000
O6 O 0.748 0.258 0.016
O7 O 0.232 0.742 0.984
Sr3 Sr 0.872 0.382 0.764
O8 O 0.248 0.258 0.016
Sr4 Sr 0.109 0.618 0.236
O9 O 0.862 0.909 0.743
O10 O 0.619 0.666 0.257
```

Computed properties:
- energy relative to the elements, uncorrected (eV per atom) = -3.1788
- energy (eV/atom) = -15.15
- polymorph energy (0 for the lowest one) (meV/atom) = 0
- volume (Å³/cell) = 238.96
- total magnetic moment (μB per atom) = 0.084

The following is a DFT calculation (SCAN) of a crystal of Sr2Ti2O5 relaxed with PBEsol.

Cell and atoms, written as CIF:
```
data_Sr2Ti2O5
_symmetry_space_group_name_H-M 'P 1'
_symmetry_Int_Tables_number 1
_symmetry_space_group_name_Hall 'P 1'
_cell_length_a 3.887
_cell_length_b 5.482
_cell_length_c 5.482
_cell_angle_alpha 91.81
_cell_angle_beta 90.00
_cell_angle_gamma 90.00
loop_
_atom_site_label
_atom_site_type_symbol
_atom_site_fract_x
_atom_site_fract_y
_atom_site_fract_z
O1 O 0.500 0.500 0.000
Ti1 Ti 0.500 0.253 0.253
O2 O 0.500 0.000 0.500
Sr1 Sr 0.000 0.757 0.243
Ti2 Ti 0.500 0.747 0.747
O3 O 0.000 0.721 0.721
O4 O 0.000 0.279 0.279
Sr2 Sr 0.000 0.243 0.757
O5 O 0.500 0.000 0.000
```

Computed properties:
- energy relative to the elements, uncorrected (eV per atom) = -3.1634
- energy (eV/atom) = -15.14
- polymorph energy (0 for the lowest one) (meV/atom) = 15
- volume (Å³/cell) = 116.73
- total magnetic moment (μB per atom) = 0.061